Record 1
## ZrIrCl (PBE-GGA)

Data for a geometry-optimized ZrIrCl structure.

Calculated values
**Total moment**: 0.00 μB per cell
**Calculated total energy**: -7.132 eV/atom
**Distance to the lowest polymorph of the same formula**: 0.331 eV/atom

Cell: 3.589 3.589 6.298 Å, 90.00 90.00 120.00°
Fractional coordinates of all 3 atoms:
1 Cl 0.000 0.000 0.943
2 Ir 0.333 0.667 0.409
3 Zr 0.667 0.333 0.647



Record 2
## MnMo2Pt (PBE-GGA)

Data for a geometry-optimized MnMo2Pt structure.

Calculated values
**Total moment**: 0.99 μB per cell
**Density of states at the Fermi level**: 1.088 states/eV/atom
**Calculated formation energy**: 73 meV per atom
**Calculated total energy**: -9.145 eV/atom
**Distance to the lowest polymorph of the same formula**: 0.192 eV/atom

Cell: 3.277 3.277 5.560 Å, 90.00 90.00 90.00°
Fractional coordinates of all 4 atoms:
1 Mn 0.500 0.500 0.750
2 Mo 0.000 0.000 0.971
3 Mo 0.000 0.000 0.529
4 Pt 0.500 0.500 0.250



Record 3
## Tb6Tl2Te3Pb (PBE-GGA)

Data for a geometry-optimized Tb6Tl2Te3Pb structure.

Calculated values
**Total moment**: 0.00 μB per cell
**Density of states at the Fermi level**: 0.401 states/eV/atom
**Calculated total energy**: -4.673 eV/atom

Cell: 4.414 8.838 10.174 Å, 111.51 102.53 90.00°
Fractional coordinates of all 12 atoms:
1 Tb 0.330 0.864 0.661
2 Tb 0.661 0.637 0.322
3 Tb 0.670 0.136 0.339
4 Tb 0.009 0.251 0.018
5 Tb 0.991 0.749 0.982
6 Tb 0.339 0.363 0.678
7 Tl 0.812 0.592 0.624
8 Tl 0.188 0.408 0.376
9 Te 0.500 0.500 0.000
10 Te 0.837 0.120 0.673
11 Te 0.163 0.880 0.327
12 Pb 0.500 0.000 0.000



Record 4
## BaTcTe2 (PBE-GGA)

Data for a geometry-optimized BaTcTe2 structure.

Calculated values
**Total moment**: 2.86 μB per cell
**Density of states at the Fermi level**: 0.398 states/eV/atom
**Calculated total energy**: -4.765 eV/atom
**Distance to the lowest polymorph of the same formula**: 0.389 eV/atom

Cell: 4.002 4.002 8.034 Å, 90.00 90.00 109.71°
Fractional coordinates of all 4 atoms:
1 Ba 0.500 0.500 0.250
2 Tc 0.500 0.500 0.750
3 Te 0.000 0.000 0.952
4 Te 0.000 0.000 0.548